1.
Density functional theory data (PBE-GGA) for crystalline TlIO3 at its relaxed geometry.

abc: 8.069 6.296 8.760
angles: 90.00 113.94 90.00
Sites, in units of the cell vectors:
Tl 0.130 0.248 0.137
Tl 0.130 0.252 0.637
Tl 0.870 0.748 0.363
Tl 0.870 0.752 0.863
I 0.382 0.749 0.408
I 0.382 0.751 0.908
I 0.618 0.249 0.092
I 0.618 0.251 0.592
O 0.161 0.622 0.287
O 0.161 0.878 0.787
O 0.296 0.013 0.434
O 0.296 0.487 0.934
O 0.435 0.629 0.614
O 0.435 0.871 0.114
O 0.565 0.129 0.886
O 0.565 0.371 0.386
O 0.704 0.513 0.066
O 0.704 0.987 0.566
O 0.839 0.122 0.213
O 0.839 0.378 0.713

Its uncorrected formation energy is -261 kJ/mol of formula units. Its density of states at the Fermi level is 0.000 states/eV per atom. Its total moment is 0.00 Bohr magnetons per cell. The value obtained for the calculated volume is 20.34 Å³/atom. As for the crystal system: monoclinic. Its final energy is -4.299 eV/atom.

2.
Density functional theory data (PBE-GGA) for crystalline NdBrO at its relaxed geometry.

abc: 3.946 3.946 4.902
angles: 90.00 90.00 120.00
Sites, in units of the cell vectors:
Nd 0.000 0.000 0.000
Br 0.667 0.333 0.498
O 0.333 0.667 0.998

Its uncorrected formation energy is -770 kJ/mol of formula units. Its density of states at the Fermi level is 0.000 states/eV per atom. Its total moment is 0.00 Bohr magnetons per cell. The value obtained for the calculated volume is 22.03 Å³/atom. As for the crystal system: trigonal. Its final energy is -6.459 eV/atom.

3.
Density functional theory data (PBE-GGA) for crystalline LaSm2Ga2 at its relaxed geometry.

abc: 7.853 7.853 4.474
angles: 90.00 90.00 90.00
Sites, in units of the cell vectors:
La 0.000 0.000 0.000
La 0.500 0.500 0.000
Sm 0.175 0.325 0.500
Sm 0.325 0.825 0.500
Sm 0.675 0.175 0.500
Sm 0.825 0.675 0.500
Ga 0.116 0.616 0.000
Ga 0.384 0.116 0.000
Ga 0.616 0.884 0.000
Ga 0.884 0.384 0.000

Its density of states at the Fermi level is 0.910 states/eV per atom. Its total moment is 0.00 Bohr magnetons per cell. The value obtained for the calculated volume is 27.59 Å³/atom. The energy above the most stable polymorph in this dataset comes out at 0.000 eV/atom. As for the crystal system: tetragonal. Its final energy is -4.562 eV/atom.

4.
Density functional theory data (PBE-GGA) for crystalline Na2CuTe at its relaxed geometry.

abc: 5.772 5.772 9.441
angles: 113.88 113.88 56.11
Sites, in units of the cell vectors:
Na 0.185 0.188 0.092
Na 0.188 0.185 0.592
Na 0.812 0.815 0.408
Na 0.815 0.812 0.908
Cu 0.257 0.743 0.250
Cu 0.743 0.257 0.750
Te 0.245 0.755 0.750
Te 0.755 0.245 0.250

Its uncorrected formation energy is -100 kJ/mol of formula units. Its density of states at the Fermi level is 0.355 states/eV per atom. Its total moment is 0.00 Bohr magnetons per cell. The value obtained for the calculated volume is 29.00 Å³/atom. As for the crystal system: monoclinic. Its final energy is -2.728 eV/atom.